# NdHoCoBr (PBE, relaxed)
data_NdHoCoBr
_chemical_formula_sum 'Nd2 Ho2 Co2 Br2'
_cell_length_a 6.755
_cell_length_b 3.903
_cell_length_c 8.084
_cell_angle_alpha 90.00
_cell_angle_beta 106.23
_cell_angle_gamma 90.00
_symmetry_space_group_name_H-M 'C 1 m 1'
_symmetry_Int_Tables_number 8
_symmetry_space_group_name_Hall 'C -2y'
loop_
_atom_site_label
_atom_site_type_symbol
_atom_site_fract_x
_atom_site_fract_y
_atom_site_fract_z
_atom_site_occupancy
Nd1 Nd 0.000 0.000 0.000 1
Ho1 Ho 0.207 0.000 0.620 1
Co1 Co 0.102 0.500 0.804 1
Br1 Br 0.275 0.500 0.324 1
# DOS at the Fermi energy, states/eV/atom: 0.20
# Magnetic moment, μB/f.u.: 0.00
# Crystal system: monoclinic
# Total energy, eV per formula unit: -20.976

# PmHoCoBr (PBE, relaxed)
data_PmHoCoBr
_chemical_formula_sum 'Pm2 Ho2 Co2 Br2'
_cell_length_a 6.733
_cell_length_b 3.890
_cell_length_c 8.051
_cell_angle_alpha 90.00
_cell_angle_beta 106.24
_cell_angle_gamma 90.00
_symmetry_space_group_name_H-M 'C 1 m 1'
_symmetry_Int_Tables_number 8
_symmetry_space_group_name_Hall 'C -2y'
loop_
_atom_site_label
_atom_site_type_symbol
_atom_site_fract_x
_atom_site_fract_y
_atom_site_fract_z
_atom_site_occupancy
Pm1 Pm 0.000 0.000 0.000 1
Ho1 Ho 0.207 0.000 0.620 1
Co1 Co 0.102 0.500 0.805 1
Br1 Br 0.274 0.500 0.323 1
# DOS at the Fermi energy, states/eV/atom: 0.20
# Magnetic moment, μB/f.u.: 0.00
# Crystal system: monoclinic
# Total energy, eV per formula unit: -20.978

# PrHoCoBr (PBE, relaxed)
data_PrHoCoBr
_chemical_formula_sum 'Pr2 Ho2 Co2 Br2'
_cell_length_a 6.778
_cell_length_b 3.916
_cell_length_c 8.116
_cell_angle_alpha 90.00
_cell_angle_beta 106.22
_cell_angle_gamma 90.00
_symmetry_space_group_name_H-M 'C 1 m 1'
_symmetry_Int_Tables_number 8
_symmetry_space_group_name_Hall 'C -2y'
loop_
_atom_site_label
_atom_site_type_symbol
_atom_site_fract_x
_atom_site_fract_y
_atom_site_fract_z
_atom_site_occupancy
Pr1 Pr 0.000 0.000 0.000 1
Ho1 Ho 0.207 0.000 0.619 1
Co1 Co 0.101 0.500 0.803 1
Br1 Br 0.275 0.500 0.326 1
# DOS at the Fermi energy, states/eV/atom: 0.20
# Magnetic moment, μB/f.u.: 0.00
# Crystal system: monoclinic
# Total energy, eV per formula unit: -20.966

# Co3IBr (PBE, relaxed)
data_Co3IBr
_chemical_formula_sum 'Co3 I1 Br1'
_cell_length_a 4.816
_cell_length_b 4.816
_cell_length_c 4.816
_cell_angle_alpha 90.00
_cell_angle_beta 90.00
_cell_angle_gamma 90.00
_symmetry_space_group_name_H-M 'P m -3 m'
_symmetry_Int_Tables_number 221
_symmetry_space_group_name_Hall '-P 4 2 3'
loop_
_atom_site_label
_atom_site_type_symbol
_atom_site_fract_x
_atom_site_fract_y
_atom_site_fract_z
_atom_site_occupancy
Co1 Co 0.000 0.000 0.500 1
I1 I 0.000 0.000 0.000 1
Br1 Br 0.500 0.500 0.500 1
# DOS at the Fermi energy, states/eV/atom: 0.41
# Magnetic moment, μB/f.u.: 5.00
# Crystal system: cubic
# ΔE to the lowest computed polymorph, meV/atom: 102

# Co5I12Br3 (PBE, relaxed)
data_Co5I12Br3
_chemical_formula_sum 'Co40 I96 Br24'
_cell_length_a 17.394
_cell_length_b 17.394
_cell_length_c 17.394
_cell_angle_alpha 90.00
_cell_angle_beta 90.00
_cell_angle_gamma 90.00
_symmetry_space_group_name_H-M 'I a -3 d'
_symmetry_Int_Tables_number 230
_symmetry_space_group_name_Hall '-I 4bd 2c 3'
loop_
_atom_site_label
_atom_site_type_symbol
_atom_site_fract_x
_atom_site_fract_y
_atom_site_fract_z
_atom_site_occupancy
Co1 Co 0.000 0.000 0.000 1
Co2 Co 0.000 0.250 0.375 1
I1 I 0.039 0.050 0.645 1
Br1 Br 0.000 0.250 0.125 1
# DOS at the Fermi energy, states/eV/atom: 1.50
# Magnetic moment, μB/f.u.: 4.28
# Crystal system: cubic
# Total energy, eV per formula unit: -56.118

# Co3IBr (PBE, relaxed)
data_Co3IBr
_chemical_formula_sum 'Co3 I1 Br1'
_cell_length_a 4.598
_cell_length_b 4.598
_cell_length_c 4.598
_cell_angle_alpha 90.00
_cell_angle_beta 90.00
_cell_angle_gamma 90.00
_symmetry_space_group_name_H-M 'P m -3 m'
_symmetry_Int_Tables_number 221
_symmetry_space_group_name_Hall '-P 4 2 3'
loop_
_atom_site_label
_atom_site_type_symbol
_atom_site_fract_x
_atom_site_fract_y
_atom_site_fract_z
_atom_site_occupancy
Co1 Co 0.000 0.000 0.500 1
I1 I 0.500 0.500 0.500 1
Br1 Br 0.000 0.000 0.000 1
# DOS at the Fermi energy, states/eV/atom: 1.06
# Magnetic moment, μB/f.u.: 5.00
# Crystal system: cubic
# ΔE to the lowest computed polymorph, meV/atom: 0